# 1
Density functional theory data (PBE) for crystalline BeCoOs at its relaxed geometry.

Calculated values
Total magnetization, μB per formula unit: 1.14
Calculated volume, A^3/atom: 11.6
Density of states at the Fermi level, states/eV/f.u.: 2.99
Calculated total energy, eV per atom: -7.247
Density, g/cm3: 12.29
Energy of formation, eV per atom: 0.107

Unit cell a=2.6247 b=2.6247 c=5.8449 alpha=90.00 beta=90.00 gamma=120.00
With the nearest neighbours (Å) after each atom.
Element x y z (fractional)
Co 0.6667 0.3333 0.3189  3 Be 2.35, 3 Os 2.55, 6 Co 2.62
Be 0.0000 0.0000 0.0107  3 Co 2.35, 3 Os 2.50, 6 Be 2.62
Os 0.3333 0.6667 0.6704  3 Be 2.50, 3 Co 2.55, 6 Os 2.62

---

# 2
Density functional theory data (PBE) for crystalline BeCo4Os at its relaxed geometry.

Calculated values
Total magnetization, μB per formula unit: 7.69
Calculated volume, A^3/atom: 11.7
Density of states at the Fermi level, states/eV/f.u.: 6.10
Calculated total energy, eV per atom: -6.957
Density, g/cm3: 10.33
Energy of formation, eV per atom: 0.273

Unit cell a=4.6247 b=4.6247 c=4.6247 alpha=60.00 beta=60.00 gamma=60.00
With the nearest neighbours (Å) after each atom.
Element x y z (fractional)
Co 0.3744 0.8768 0.3744  6 Co 2.30-2.32
Co 0.3744 0.3744 0.8768  6 Co 2.30-2.32
Os 0.7500 0.7500 0.7500  12 Co 2.71, 4 Be 2.83
Co 0.8768 0.3744 0.3744  6 Co 2.30-2.32
Be 0.0000 0.0000 0.0000  12 Co 2.71, 4 Os 2.83
Co 0.3744 0.3744 0.3744  6 Co 2.30-2.32

---

# 3
Density functional theory data (PBE) for crystalline BeCoOs2 at its relaxed geometry.

Calculated values
Total magnetization, μB per formula unit: 0.00
Calculated volume, A^3/atom: 12.1
Density of states at the Fermi level, states/eV/f.u.: 3.68
Calculated total energy, eV per atom: -8.139
Density, g/cm3: 15.37
Energy of formation, eV per atom: 0.184

Unit cell a=4.4022 b=4.4022 c=4.4022 alpha=130.32 beta=130.32 gamma=72.90
With the nearest neighbours (Å) after each atom.
Element x y z (fractional)
Co 0.7500 0.2500 0.5000  8 Os 2.56, 4 Be 2.62
Os 0.0000 0.0000 0.0000  4 Co 2.56, 4 Be 2.56, 4 Os 2.62
Os 0.5000 0.5000 0.0000  4 Co 2.56, 4 Be 2.56, 4 Os 2.62
Be 0.2500 0.7500 0.5000  8 Os 2.56, 4 Co 2.62

---

# 4
Density functional theory data (PBE) for crystalline BeCoOs at its relaxed geometry.

Calculated values
Total magnetization, μB per formula unit: 1.15
Calculated volume, A^3/atom: 10.8
Density of states at the Fermi level, states/eV/f.u.: 2.68
Calculated total energy, eV per atom: -7.426
Density, g/cm3: 13.17
Energy of formation, eV per atom: -0.072

Unit cell a=4.8365 b=4.8365 c=4.8365 alpha=147.50 beta=147.50 gamma=46.62
With the nearest neighbours (Å) after each atom.
Element x y z (fractional)
Co 0.3490 0.3490 0.0000  4 Be 2.29, 4 Os 2.54
Os 0.6608 0.6608 0.0000  4 Be 2.44, 4 Co 2.54, 4 Os 2.71
Be 0.9902 0.9902 0.0000  4 Co 2.29, 4 Os 2.44